# AlPd5Au2 (PBE-GGA, optimized geometry)
# Calculated formation energy = -0.351 eV/atom
# Energy relative to the lowest polymorph listed for this composition = 6 meV per atom
# Crystal system = orthorhombic
# VASP energy = -4.883 eV per atom
data_AlPd5Au2
_cell_length_a 5.543
_cell_length_b 10.939
_cell_length_c 4.185
_cell_angle_alpha 90.00
_cell_angle_beta 90.00
_cell_angle_gamma 90.00
_space_group_name_H-M_alt 'P b a m'
_space_group_IT_number 55
_space_group_name_Hall '-P 2 2ab'
loop_
_atom_site_label
_atom_site_type_symbol
_atom_site_fract_x
_atom_site_fract_y
_atom_site_fract_z
_atom_site_occupancy
Al1 Al 0.000 0.000 0.000 1
Pd1 Pd 0.000 0.500 0.000 1
Pd2 Pd 0.055 0.239 0.000 1
Pd3 Pd 0.187 0.893 0.500 1
Au1 Au 0.188 0.637 0.500 1